1.
ZnBi2MoI, relaxed, DFT PBE; formation energy (no corrections) = 96.7 kJ per mole of atoms; D(E_F) = 3.69 states/eV/cell; total DFT energy (no corrections) = -16.41 eV per cell
1.0
5.388 0.000 0.000
0.000 5.303 0.000
0.000 0.000 5.388
I Mo Bi Zn
1 1 2 1
Direct
0.500 0.500 0.500 I
0.000 0.500 0.000 Mo
0.500 0.000 0.000 Bi
0.000 0.000 0.500 Bi
0.000 0.000 0.000 Zn

---

2.
LaTaRu, relaxed, DFT PBE; ΔE_f = 101 meV/atom; D(E_F) = 2.44 states/eV/cell; total DFT energy (no corrections) = -25.75 eV per cell
1.0
-0.352 1.577 3.926
-3.274 -2.043 -1.768
1.586 -4.083 1.782
Ru Ta La
1 1 1
Direct
0.667 0.333 0.456 Ru
0.333 0.667 0.530 Ta
0.000 0.000 0.014 La

---

3.
Ho2B10Os, relaxed, DFT PBE; ΔE_f = -461 meV/atom; D(E_F) = 2.64 states/eV/cell; total DFT energy (no corrections) = -186.30 eV per cell
1.0
-3.097 -0.769 2.692
-1.327 -4.748 -2.883
7.135 -5.947 6.509
B Ho Os
20 4 2
Direct
0.301 0.776 0.881 B
0.000 0.867 0.303 B
0.699 0.724 0.381 B
0.000 0.133 0.697 B
0.000 0.559 0.307 B
0.000 0.880 0.459 B
0.699 0.224 0.119 B
0.699 0.276 0.619 B
0.000 0.633 0.803 B
0.699 0.776 0.881 B
0.301 0.276 0.619 B
0.000 0.380 0.041 B
0.000 0.941 0.807 B
0.000 0.367 0.197 B
0.000 0.059 0.193 B
0.000 0.441 0.693 B
0.000 0.120 0.541 B
0.301 0.724 0.381 B
0.000 0.620 0.959 B
0.301 0.224 0.119 B
0.500 0.273 0.871 Ho
0.500 0.227 0.371 Ho
0.500 0.727 0.129 Ho
0.500 0.773 0.629 Ho
0.000 0.500 0.500 Os
0.000 0.000 0.000 Os

---

4.
GaTc2Sb2, relaxed, DFT PBE; formation energy (no corrections) = 19.1 kJ per mole of atoms; D(E_F) = 10.69 states/eV/cell; total DFT energy (no corrections) = -62.02 eV per cell
1.0
7.510 0.000 0.000
0.000 7.510 0.000
0.000 0.000 3.304
Sb Tc Ga
4 4 2
Direct
0.851 0.351 0.500 Sb
0.351 0.149 0.500 Sb
0.649 0.851 0.500 Sb
0.149 0.649 0.500 Sb
0.648 0.148 0.000 Tc
0.148 0.352 0.000 Tc
0.352 0.852 0.000 Tc
0.852 0.648 0.000 Tc
0.500 0.500 0.000 Ga
0.000 0.000 0.000 Ga

---

5.
CsSr2Ca, relaxed, DFT PBE; ΔE_f = 152 meV/atom; D(E_F) = 5.29 states/eV/cell; total DFT energy (no corrections) = -5.61 eV per cell
1.0
4.236 0.000 0.000
2.118 3.669 0.000
2.118 1.223 15.100
Sr Cs Ca
2 1 1
Direct
0.094 0.094 0.717 Sr
0.906 0.906 0.283 Sr
0.000 0.000 0.000 Cs
0.500 0.500 0.500 Ca

---

6.
Na2Cu2F7, relaxed, DFT PBE; formation energy (no corrections) = -176.5 kJ per mole of atoms; D(E_F) = 3.35 states/eV/cell; total DFT energy (no corrections) = -44.06 eV per cell
1.0
-2.585 -2.943 -3.499
-3.211 -1.340 3.871
-2.533 4.598 -0.173
F Cu Na
7 2 2
Direct
0.504 0.233 0.049 F
0.496 0.767 0.951 F
0.000 0.000 0.000 F
0.951 0.233 0.496 F
0.049 0.767 0.504 F
0.555 0.778 0.445 F
0.445 0.222 0.555 F
0.245 0.040 0.755 Cu
0.755 0.960 0.245 Cu
0.255 0.500 0.255 Na
0.745 0.500 0.745 Na

---

7.
La2SeBr, relaxed, DFT PBE; formation energy (no corrections) = -57.0 kJ per mole of atoms; D(E_F) = 6.16 states/eV/cell; total DFT energy (no corrections) = -17.37 eV per cell
1.0
-3.484 -4.015 -0.654
0.855 -3.700 -3.777
1.368 -4.987 1.396
Se La Br
1 2 1
Direct
0.750 0.750 0.750 Se
0.250 0.250 0.250 La
0.000 0.000 0.000 La
0.500 0.500 0.500 Br

---

8.
ThVGe2, relaxed, DFT PBE; ΔE_f = -252 meV/atom; D(E_F) = 3.34 states/eV/cell; total DFT energy (no corrections) = -26.78 eV per cell
1.0
3.433 0.000 0.000
0.000 3.433 0.000
0.000 0.000 6.524
V Ge Th
1 2 1
Direct
0.500 0.500 0.000 V
0.000 0.000 0.194 Ge
0.000 0.000 0.806 Ge
0.500 0.500 0.500 Th

---

9.
ReBiBRh, relaxed, DFT PBE; ΔE_f = 161 meV/atom; D(E_F) = 8.28 states/eV/cell; total DFT energy (no corrections) = -89.14 eV per cell
1.0
3.327 0.000 0.000
-1.664 2.881 0.000
0.000 0.000 20.083
Bi B Re Rh
3 3 3 3
Direct
0.667 0.333 0.773 Bi
0.333 0.667 0.107 Bi
0.000 0.000 0.440 Bi
0.333 0.667 0.609 B
0.000 0.000 0.942 B
0.667 0.333 0.275 B
0.333 0.667 0.888 Re
0.000 0.000 0.221 Re
0.667 0.333 0.555 Re
0.667 0.333 0.989 Rh
0.333 0.667 0.323 Rh
0.000 0.000 0.656 Rh

---

10.
Be3InF, relaxed, DFT PBE; formation energy (no corrections) = 19.2 kJ per mole of atoms; D(E_F) = 1.35 states/eV/cell; total DFT energy (no corrections) = -14.79 eV per cell
1.0
3.958 0.000 0.000
0.000 3.958 0.000
0.000 0.000 3.958
In F Be
1 1 3
Direct
0.500 0.500 0.500 In
0.000 0.000 0.000 F
0.000 0.500 0.000 Be
0.500 0.000 0.000 Be
0.000 0.000 0.500 Be

---

11.
ThGa2Fe2C, relaxed, DFT PBE; ΔE_f = -280 meV/atom; D(E_F) = 5.53 states/eV/cell; total DFT energy (no corrections) = -41.30 eV per cell
1.0
4.017 0.000 0.000
0.000 4.017 0.000
0.000 0.000 5.461
Ga Fe Th C
2 2 1 1
Direct
0.500 0.500 0.736 Ga
0.500 0.500 0.264 Ga
0.500 0.000 0.000 Fe
0.000 0.500 0.000 Fe
0.000 0.000 0.500 Th
0.000 0.000 0.000 C

---

12.
TiBe2Zn, relaxed, DFT PBE; ΔE_f = -55 meV/atom; D(E_F) = 1.40 states/eV/cell; total DFT energy (no corrections) = -16.84 eV per cell
1.0
-2.339 -1.315 1.669
-1.278 -1.809 -3.214
2.293 -3.054 0.807
Zn Be Ti
1 2 1
Direct
0.500 0.500 0.500 Zn
0.000 0.000 0.500 Be
0.000 0.500 0.000 Be
0.500 0.000 0.000 Ti

---

13.
Li6CuF8, relaxed, DFT PBE; formation energy (no corrections) = -253.8 kJ per mole of atoms; D(E_F) = 5.84 states/eV/cell; total DFT energy (no corrections) = -70.00 eV per cell
1.0
5.865 0.000 0.000
2.932 5.079 0.000
2.932 1.693 4.788
F Li Cu
8 6 1
Direct
0.243 0.757 0.757 F
0.757 0.757 0.243 F
0.757 0.243 0.757 F
0.750 0.750 0.750 F
0.250 0.250 0.250 F
0.243 0.243 0.757 F
0.243 0.757 0.243 F
0.757 0.243 0.243 F
0.000 0.000 0.500 Li
0.500 0.000 0.500 Li
0.000 0.500 0.500 Li
0.500 0.500 0.000 Li
0.000 0.500 0.000 Li
0.500 0.000 0.000 Li
0.000 0.000 0.000 Cu

---

14.
CoB2Ir, relaxed, DFT PBE; ΔE_f = 53 meV/atom; D(E_F) = 1.47 states/eV/cell; total DFT energy (no corrections) = -29.11 eV per cell
1.0
0.000 2.632 2.632
2.632 0.000 2.632
2.632 2.632 0.000
B Co Ir
2 1 1
Direct
0.250 0.250 0.250 B
0.750 0.750 0.750 B
0.000 0.000 0.000 Co
0.500 0.500 0.500 Ir

---

15.
Cs2RbHgP, relaxed, DFT PBE; ΔE_f = -59 meV/atom; D(E_F) = 3.76 states/eV/cell; total DFT energy (no corrections) = -8.68 eV per cell
1.0
6.978 0.000 0.000
0.000 6.978 0.000
0.000 0.000 6.681
Cs P Rb Hg
2 1 1 1
Direct
0.500 0.000 0.000 Cs
0.000 0.500 0.000 Cs
0.000 0.000 0.000 P
0.000 0.000 0.500 Rb
0.500 0.500 0.500 Hg

---

16.
TaI4Cl, relaxed, DFT PBE; formation energy (no corrections) = -24.6 kJ per mole of atoms; D(E_F) = 6.22 states/eV/cell; total DFT energy (no corrections) = -42.86 eV per cell
1.0
2.974 -5.581 8.360
7.692 -1.724 1.070
0.759 5.498 3.400
I Ta Cl
8 2 2
Direct
0.755 0.161 0.780 I
0.245 0.339 0.280 I
0.137 0.657 0.755 I
0.755 0.661 0.720 I
0.863 0.343 0.245 I
0.137 0.157 0.745 I
0.863 0.843 0.255 I
0.245 0.839 0.220 I
0.000 0.500 0.500 Ta
0.000 0.000 0.000 Ta
0.500 0.500 0.000 Cl
0.500 0.000 0.500 Cl

---

17.
Y2InCu, relaxed, DFT PBE; ΔE_f = -126 meV/atom; D(E_F) = 4.02 states/eV/cell; total DFT energy (no corrections) = -20.27 eV per cell
1.0
-0.454 0.910 4.785
-1.799 -2.536 3.777
5.096 -2.793 2.751
Y Cu In
2 1 1
Direct
0.984 0.984 0.025 Y
0.516 0.516 0.475 Y
0.250 0.250 0.250 Cu
0.750 0.750 0.750 In

---

18.
Mg6MnV, relaxed, DFT PBE; ΔE_f = 233 meV/atom; D(E_F) = 7.04 states/eV/cell; total DFT energy (no corrections) = -25.99 eV per cell
1.0
3.074 -5.336 0.000
3.074 5.336 0.000
0.000 0.000 4.933
V Mg Mn
1 6 1
Direct
0.417 0.583 0.500 V
0.093 0.422 0.000 Mg
0.578 0.907 0.000 Mg
0.921 0.079 0.500 Mg
0.408 0.079 0.500 Mg
0.578 0.422 0.000 Mg
0.921 0.592 0.500 Mg
0.083 0.917 0.000 Mn

---

19.
Li2HoCd2Ag2, relaxed, DFT PBE; ΔE_f = -247 meV/atom; D(E_F) = 4.20 states/eV/cell; total DFT energy (no corrections) = -17.67 eV per cell
1.0
4.801 0.000 0.000
-2.400 4.137 -0.410
0.000 -2.048 7.284
Cd Ag Li Ho
2 2 2 1
Direct
0.573 0.146 0.717 Cd
0.427 0.854 0.283 Cd
0.724 0.448 0.174 Ag
0.276 0.552 0.826 Ag
0.849 0.698 0.547 Li
0.151 0.302 0.453 Li
0.000 0.000 0.000 Ho

---

20.
Zr2NiTe, relaxed, DFT PBE; formation energy (no corrections) = -23.6 kJ per mole of atoms; D(E_F) = 7.55 states/eV/cell; total DFT energy (no corrections) = -53.99 eV per cell
1.0
-1.803 -5.821 4.261
4.544 2.495 5.332
-0.904 -0.081 5.995
Te Zr Ni
2 4 2
Direct
0.750 0.250 0.500 Te
0.000 0.000 0.000 Te
0.590 0.125 0.250 Zr
0.375 0.410 0.750 Zr
0.875 0.840 0.750 Zr
0.160 0.625 0.250 Zr
0.500 0.500 0.000 Ni
0.250 0.750 0.500 Ni

---

no.,total magnetic moment (Bohr magnetons per cell)
1,3.5
2,0.0
3,0.0
4,0.0
5,0.9
6,3.0
7,0.1
8,0.4
9,0.0
10,0.0
11,2.5
12,0.0
13,1.0
14,0.0
15,0.4
16,0.0
17,0.0
18,6.8
19,0.0
20,0.0